Entry from the Alexandria database: a geometry-optimized Ac3Sn4Hg structure (GGA-PBE).

a = 4.981 Å, b = 6.797 Å, c = 9.545 Å
α = 110.86°, β = 105.12°, γ = 90.00°
Positions (direct):
Ac 0.191 0.191 0.382
Ac 0.809 0.809 0.618
Ac 0.000 0.500 0.000
Sn 0.376 0.164 0.751
Sn 0.376 0.587 0.751
Sn 0.624 0.413 0.249
Sn 0.624 0.836 0.249
Hg 0.500 0.000 0.000

Values from the calculation:
SG	Immm, No. 71
uncorrected energy	-32.21	eV per cell
calculated density	7.8	Mg/m³
volume	289.9	Å³ per cell
formation energy	-0.447	eV per atom

---

Entry from the Alexandria database: a geometry-optimized Ac4SnHg structure (GGA-PBE).

a = 10.948 Å, b = 10.948 Å, c = 10.948 Å
α = 60.00°, β = 60.00°, γ = 60.00°
Positions (direct):
Hg 0.536 0.155 0.155
Hg 0.155 0.536 0.155
Hg 0.155 0.155 0.536
Hg 0.155 0.155 0.155
Ac 0.562 0.938 0.938
Ac 0.938 0.562 0.562
Ac 0.938 0.938 0.562
Ac 0.809 0.809 0.191
Ac 0.191 0.809 0.191
Ac 0.938 0.562 0.938
Ac 0.809 0.191 0.809
Ac 0.562 0.562 0.938
Ac 0.562 0.938 0.562
Ac 0.376 0.872 0.376
Ac 0.376 0.376 0.872
Ac 0.376 0.376 0.376
Ac 0.872 0.376 0.376
Ac 0.809 0.191 0.191
Ac 0.191 0.191 0.809
Ac 0.191 0.809 0.809
Sn 0.597 0.597 0.208
Sn 0.597 0.597 0.597
Sn 0.208 0.597 0.597
Sn 0.597 0.208 0.597

Values from the calculation:
SG	F-43m, No. 216
uncorrected energy	-91.38	eV per cell
energy above the most stable polymorph in this dataset	0	meV per atom
calculated density	8.8	Mg/m³
volume	927.8	Å³ per cell
formation energy	-0.351	eV per atom

---

Question: Among the records above, which one has the highest uncorrected energy?
Answer: Ac3Sn4Hg

---

Question: Among the records above, which one has the highest formation energy?
Answer: Ac4SnHg